# KSrAu2

A relaxed KSrAu2 crystal (GGA-PBE, Alexandria via LeMat-Bulk).

M_tot	0.00	μB/f.u.
energy relative to the elements	-26.2	kJ per mole of atoms

a = 5.3234 Å, b = 5.3234 Å, c = 5.3234 Å
α = 60.00°, β = 60.00°, γ = 60.00°
Last column: nearest neighbours and their distance in Å.
Sites, in units of the cell vectors:
K (0.0000, 0.0000, 0.0000)  4 Au 3.26, 4 Sr 3.26
Sr (0.2500, 0.2500, 0.2500)  4 K 3.26, 4 Au 3.26
Au (0.5000, 0.5000, 0.5000)  4 Au 3.26, 4 Sr 3.26
Au (0.7500, 0.7500, 0.7500)  4 K 3.26, 4 Au 3.26


# KSrAu2

A relaxed KSrAu2 crystal (GGA-PBE, Alexandria via LeMat-Bulk).

M_tot	0.00	μB/f.u.
energy relative to the elements	-42.8	kJ per mole of atoms

a = 8.6239 Å, b = 8.6239 Å, c = 8.6239 Å
α = 29.83°, β = 29.83°, γ = 29.83°
Last column: nearest neighbours and their distance in Å.
Sites, in units of the cell vectors:
K (0.0000, 0.0000, 0.0000)  6 Au 3.38-3.46
Sr (0.1701, 0.1701, 0.1701)  6 Au 3.15-3.18
Au (0.5778, 0.5778, 0.5778)  3 Sr 3.15, 3 K 3.38
Au (0.7608, 0.7608, 0.7608)  3 Sr 3.18, 3 K 3.46


What did the second record say?
# KSrAu2

A relaxed KSrAu2 crystal (GGA-PBE, Alexandria via LeMat-Bulk).

M_tot	0.00	μB/f.u.
energy relative to the elements	-42.8	kJ per mole of atoms

a = 8.6239 Å, b = 8.6239 Å, c = 8.6239 Å
α = 29.83°, β = 29.83°, γ = 29.83°
Last column: nearest neighbours and their distance in Å.
Sites, in units of the cell vectors:
K (0.0000, 0.0000, 0.0000)  6 Au 3.38-3.46
Sr (0.1701, 0.1701, 0.1701)  6 Au 3.15-3.18
Au (0.5778, 0.5778, 0.5778)  3 Sr 3.15, 3 K 3.38
Au (0.7608, 0.7608, 0.7608)  3 Sr 3.18, 3 K 3.46